Computed, not measured: Zr2TlRh after structural relaxation at the PBE level of DFT.

Lattice parameters (Å, degrees): 5.2552 5.2552 4.8250 62.69 62.69 44.92
Last column: nearest neighbours and their distance in Å.
Fractional positions:
1 Zr 0.0232 0.0232 0.9768  2 Rh 2.77, 4 Tl 3.06-3.08
2 Zr 0.4768 0.4768 0.5232  2 Rh 2.77, 4 Tl 3.06-3.08
3 Tl 0.2500 0.2500 0.2500  8 Zr 3.06-3.08, 4 Rh 3.14
4 Rh 0.7500 0.7500 0.7500  4 Zr 2.77

For the density, the calculation gives 10.0 g/cm³. As for the volume: 81.7 Å³/f.u. The calculation puts the total energy at -6.98 eV/atom. The value obtained for the total moment is 0.000 μB/cell.

Computed, not measured: NbPdI after structural relaxation at the PBE level of DFT.

Lattice parameters (Å, degrees): 3.4268 3.4273 6.7409 90.01 89.95 60.00
Last column: nearest neighbours and their distance in Å.
Fractional positions:
1 Nb 0.9148 0.6227 0.9089  3 Pd 2.69, 3 I 2.82
2 Pd 0.2472 0.9568 0.1799  3 Nb 2.69, 1 I 2.91
3 I 0.2490 0.9555 0.6110  3 Nb 2.82, 1 Pd 2.91

For the density, the calculation gives 7.9 g/cm³. As for the volume: 68.6 Å³/f.u. For the relative energy among the computed polymorphs, the calculation gives 0.212 eV per atom. The value obtained for the total moment is 0.000 μB/cell.